A plane-wave DFT calculation with SCAN was carried out for TaBiH2Cl at its PBEsol-relaxed geometry.

a b c (Å): 3.7736 3.7736 7.1906
angles (deg): 90.00 90.00 90.00
With the nearest neighbours (Å) after each atom.
Sites, in units of the cell vectors:
Ta  0.0000  0.0000  0.0000  4 Cl 2.67
Bi  0.5000  0.5000  0.5000  4 H 1.89
H  0.0000  0.5000  0.5000  2 Bi 1.89
H  0.5000  0.0000  0.5000  2 Bi 1.89
Cl  0.5000  0.5000  0.0000  4 Ta 2.67

Output
The calculation puts the density of states at the Fermi level at 3.67 states/eV per cell. The space group is P4/mmm, No. 123. The calculation puts the raw total energy at -30.821 eV per atom.